No. 1
Entry from the Alexandria database: a geometry-optimized AlPd5Au8 structure (GGA-PBE).

Unit cell a=6.8574 b=6.8574 c=6.8574 alpha=109.87 beta=108.67 gamma=109.87
Closest atoms and distances in Å follow each position.
Fractional coordinates of all 14 atoms:
1 Pd 0.4608 0.1819 0.0524  8 Au 2.73-2.90, 2 Pd 2.94
2 Pd 0.9476 0.4084 0.1294  8 Au 2.73-2.90, 2 Pd 2.94
3 Pd 0.8706 0.8181 0.2789  8 Au 2.73-2.90, 2 Pd 2.94
4 Pd 0.5000 0.0000 0.5000  8 Au 2.70-2.99
5 Pd 0.7211 0.5916 0.5392  8 Au 2.73-2.90, 2 Pd 2.94
6 Au 0.2358 0.2335 0.3407  1 Al 2.73, 4 Au 2.85-2.99, 5 Pd 2.87-2.99
7 Au 0.5958 0.4281 0.8210  1 Al 2.51, 5 Pd 2.70-2.82
8 Au 0.1790 0.7748 0.6071  1 Al 2.51, 5 Pd 2.70-2.82
9 Au 0.9977 0.1048 0.7642  1 Al 2.73, 4 Au 2.85-2.99, 5 Pd 2.87-2.99
10 Au 0.1072 0.7665 0.0023  1 Al 2.73, 4 Au 2.85-2.99, 5 Pd 2.87-2.99
11 Au 0.6593 0.8952 0.8928  1 Al 2.73, 4 Au 2.85-2.99, 5 Pd 2.87-2.99
12 Au 0.8323 0.2252 0.4042  1 Al 2.51, 5 Pd 2.70-2.82
13 Au 0.3929 0.5719 0.1677  1 Al 2.51, 5 Pd 2.70-2.82
14 Al 0.2500 0.5000 0.7500  8 Au 2.51-2.73

Computed properties:
The space-group type is No. 82. The formation energy is -0.048 eV per atom. For the density of states at the Fermi level, the calculation gives 5.50 states/eV/f.u. Its spin magnetization is 0.00 μB per formula unit.

***

No. 2
Entry from the Alexandria database: a geometry-optimized Cs2KCdAu2 structure (GGA-PBE).

Unit cell a=5.4205 b=8.8095 c=9.7077 alpha=90.00 beta=90.00 gamma=90.00
Closest atoms and distances in Å follow each position.
Fractional coordinates of all 12 atoms:
1 Cs 0.5000 0.0000 0.1356  3 Au 3.67-3.77, 1 Cd 3.70
2 Cs 0.0000 0.3570 0.1584  3 Au 3.40-3.68
3 Cs 0.5000 0.5000 0.8644  3 Au 3.67-3.77, 1 Cd 3.70
4 Cs 0.0000 0.8570 0.8416  3 Au 3.40-3.68
5 Au 0.5000 0.8034 0.5903  2 Cd 2.99-3.04
6 Au 0.0000 0.7365 0.2230  2 Cd 3.02
7 Au 0.5000 0.3034 0.4097  2 Cd 2.99-3.04
8 Au 0.0000 0.2365 0.7770  2 Cd 3.02
9 K 0.0000 0.5139 0.5330  6 Au 3.40-3.76, 2 Cd 3.55
10 K 0.0000 0.0139 0.4670  6 Au 3.40-3.76, 2 Cd 3.55
11 Cd 0.5000 0.6348 0.3236  4 Au 2.99-3.04
12 Cd 0.5000 0.1348 0.6764  4 Au 2.99-3.04

Computed properties:
The space-group type is No. 26. The formation energy is -0.204 eV per atom. For the density of states at the Fermi level, the calculation gives 4.14 states/eV/f.u. Its spin magnetization is 0.00 μB per formula unit.

***

No. 3
Entry from the Alexandria database: a geometry-optimized TbEr2Mg structure (GGA-PBE).

Unit cell a=3.4241 b=3.4241 c=12.3147 alpha=82.01 beta=82.01 gamma=60.00
Closest atoms and distances in Å follow each position.
Fractional coordinates of all 4 atoms:
1 Er 0.9109 0.9109 0.2673  1 Mg 3.25, 6 Er 3.42, 3 Tb 3.45
2 Er 0.0891 0.0891 0.7327  1 Mg 3.25, 6 Er 3.42, 3 Tb 3.45
3 Tb 0.5000 0.5000 0.5000  6 Tb 3.42, 6 Er 3.45
4 Mg 0.0000 0.0000 0.0000  2 Er 3.25, 6 Mg 3.42

Computed properties:
For the polymorph energy (0 for the lowest one), the calculation gives 0.909 eV per formula unit. The space-group type is No. 166. The formation energy is 0.199 eV per atom. For the density of states at the Fermi level, the calculation gives 3.74 states/eV/f.u. Its spin magnetization is 0.00 μB per formula unit.

***

No. 4
Entry from the Alexandria database: a geometry-optimized ThAlCd structure (GGA-PBE).

Unit cell a=4.1477 b=4.4127 c=8.7717 alpha=104.57 beta=90.00 gamma=90.00
Closest atoms and distances in Å follow each position.
Fractional coordinates of all 6 atoms:
1 Al 0.2500 0.5442 0.0885  2 Al 2.56, 1 Cd 2.81
2 Al 0.7500 0.4558 0.9115  2 Al 2.56, 1 Cd 2.81
3 Th 0.2500 0.9049 0.8098  6 Al 3.15-3.24, 1 Cd 3.31
4 Th 0.7500 0.0951 0.1902  6 Al 3.15-3.24, 1 Cd 3.31
5 Cd 0.7500 0.2901 0.5801  1 Al 2.81
6 Cd 0.2500 0.7099 0.4199  1 Al 2.81

Computed properties:
The space-group type is No. 63. The formation energy is -0.218 eV per atom. For the density of states at the Fermi level, the calculation gives 1.84 states/eV/f.u. Its spin magnetization is 0.00 μB per formula unit.

***

No. 5
Entry from the Alexandria database: a geometry-optimized LiNdTmSi structure (GGA-PBE).

Unit cell a=5.0234 b=5.0234 c=5.0234 alpha=60.00 beta=60.00 gamma=60.00
Closest atoms and distances in Å follow each position.
Fractional coordinates of all 4 atoms:
1 Si 0.2500 0.2500 0.2500  4 Tm 3.08, 4 Nd 3.08
2 Tm 0.5000 0.5000 0.5000  4 Li 3.08, 4 Si 3.08
3 Li 0.7500 0.7500 0.7500  4 Tm 3.08, 4 Nd 3.08
4 Nd 0.0000 0.0000 0.0000  4 Si 3.08, 4 Li 3.08

Computed properties:
The space-group type is No. 216. The calculation puts the total DFT energy (no corrections) at -17.92 eV per formula unit. For the density of states at the Fermi level, the calculation gives 1.92 states/eV/f.u. Its spin magnetization is 0.00 μB per formula unit.

***

No. 6
Entry from the Alexandria database: a geometry-optimized Ca3PaSb4 structure (GGA-PBE).

Unit cell a=7.8480 b=7.6937 c=9.0503 alpha=90.00 beta=90.00 gamma=109.96
Closest atoms and distances in Å follow each position.
Fractional coordinates of all 16 atoms:
1 Ca 0.7500 0.0000 0.3752  6 Sb 3.18-3.21
2 Ca 0.7500 0.5000 0.6217  6 Sb 3.16-3.32
3 Ca 0.2500 0.5000 0.3783  6 Sb 3.16-3.32
4 Ca 0.7500 0.5000 0.1274  6 Sb 3.16-3.30
5 Ca 0.2500 0.5000 0.8726  6 Sb 3.16-3.30
6 Ca 0.2500 0.0000 0.6248  6 Sb 3.18-3.21
7 Sb 0.0105 0.7567 0.3667  1 Pa 3.03, 5 Ca 3.16-3.26
8 Sb 0.0003 0.2324 0.1144  2 Pa 3.07-3.09, 4 Ca 3.18-3.32
9 Sb 0.4997 0.7676 0.1144  2 Pa 3.07-3.09, 4 Ca 3.18-3.32
10 Sb 0.5105 0.7567 0.6333  1 Pa 3.03, 5 Ca 3.16-3.26
11 Sb 0.9895 0.2433 0.6333  1 Pa 3.03, 5 Ca 3.16-3.26
12 Sb 0.9997 0.7676 0.8856  2 Pa 3.07-3.09, 4 Ca 3.18-3.32
13 Sb 0.4895 0.2433 0.3667  1 Pa 3.03, 5 Ca 3.16-3.26
14 Sb 0.5003 0.2324 0.8856  2 Pa 3.07-3.09, 4 Ca 3.18-3.32
15 Pa 0.7500 0.0000 0.8696  6 Sb 3.03-3.09
16 Pa 0.2500 0.0000 0.1304  6 Sb 3.03-3.09

Computed properties:
The space-group type is No. 13. The calculation puts the total DFT energy (no corrections) at -38.30 eV per formula unit. For the density of states at the Fermi level, the calculation gives 9.68 states/eV/f.u. Its spin magnetization is 0.00 μB per formula unit.

***

No. 7
Entry from the Alexandria database: a geometry-optimized RbMg14Al structure (GGA-PBE).

Unit cell a=6.5658 b=6.5658 c=10.5731 alpha=90.00 beta=90.00 gamma=120.00
Closest atoms and distances in Å follow each position.
Fractional coordinates of all 16 atoms:
1 Rb 0.0000 0.0000 0.5000  12 Mg 3.28-3.45
2 Al 0.0000 0.0000 0.0000  12 Mg 3.10-3.28
3 Mg 0.4949 0.9898 0.5000  10 Mg 3.18-3.41, 2 Rb 3.28
4 Mg 0.0102 0.5051 0.5000  10 Mg 3.18-3.41, 2 Rb 3.28
5 Mg 0.6607 0.8303 0.2294  10 Mg 3.09-3.41, 1 Al 3.10, 1 Rb 3.45
6 Mg 0.5060 0.0119 0.0000  10 Mg 3.09-3.40, 2 Al 3.28
7 Mg 0.6667 0.3333 0.2580  12 Mg 3.22-3.30
8 Mg 0.1697 0.8303 0.2294  10 Mg 3.09-3.41, 1 Al 3.10, 1 Rb 3.45
9 Mg 0.1697 0.3393 0.2294  10 Mg 3.09-3.41, 1 Al 3.10, 1 Rb 3.45
10 Mg 0.6607 0.8303 0.7706  10 Mg 3.09-3.41, 1 Al 3.10, 1 Rb 3.45
11 Mg 0.4949 0.5051 0.5000  10 Mg 3.18-3.41, 2 Rb 3.28
12 Mg 0.5060 0.4940 0.0000  10 Mg 3.09-3.40, 2 Al 3.28
13 Mg 0.1697 0.8303 0.7706  10 Mg 3.09-3.41, 1 Al 3.10, 1 Rb 3.45
14 Mg 0.1697 0.3393 0.7706  10 Mg 3.09-3.41, 1 Al 3.10, 1 Rb 3.45
15 Mg 0.6667 0.3333 0.7420  12 Mg 3.22-3.30
16 Mg 0.9881 0.4940 0.0000  10 Mg 3.09-3.40, 2 Al 3.28

Computed properties:
For the polymorph energy (0 for the lowest one), the calculation gives 0.137 eV per formula unit. The space-group type is No. 187. The formation energy is 0.148 eV per atom. For the density of states at the Fermi level, the calculation gives 9.27 states/eV/f.u. Its spin magnetization is 0.00 μB per formula unit.

***

No. 8
Entry from the Alexandria database: a geometry-optimized ZrBRu3 structure (GGA-PBE).

Unit cell a=5.2305 b=5.2305 c=5.2305 alpha=90.15 beta=90.15 gamma=90.15
Closest atoms and distances in Å follow each position.
Fractional coordinates of all 10 atoms:
1 B 0.2500 0.2500 0.2500  3 Ru 2.10, 2 Zr 2.26
2 B 0.7500 0.7500 0.7500  3 Ru 2.10, 2 Zr 2.26
3 Zr 0.0000 0.0000 0.0000  2 B 2.26
4 Zr 0.5000 0.5000 0.5000  2 B 2.26
5 Ru 0.4662 0.7500 0.0338  1 B 2.10
6 Ru 0.7500 0.0338 0.4662  1 B 2.10
7 Ru 0.0338 0.4662 0.7500  1 B 2.10
8 Ru 0.5338 0.2500 0.9662  1 B 2.10
9 Ru 0.9662 0.5338 0.2500  1 B 2.10
10 Ru 0.2500 0.9662 0.5338  1 B 2.10

Computed properties:
The space-group type is No. 167. The formation energy is 0.084 eV per atom. For the density of states at the Fermi level, the calculation gives 4.58 states/eV/f.u. Its spin magnetization is 0.00 μB per formula unit.

***

No. 9
Entry from the Alexandria database: a geometry-optimized Rb6VP4 structure (GGA-PBE).

Unit cell a=8.4067 b=10.4164 c=10.4164 alpha=120.00 beta=90.00 gamma=90.00
Closest atoms and distances in Å follow each position.
Fractional coordinates of all 22 atoms:
1 V 0.7455 0.3333 0.6667  4 P 2.28-2.31
2 V 0.2455 0.6667 0.3333  4 P 2.28-2.31
3 Rb 0.4557 0.1451 0.8549  4 P 3.38-3.54
4 Rb 0.4557 0.7098 0.8549  4 P 3.38-3.54
5 Rb 0.6375 0.5328 0.4672  6 P 3.46-3.85, 1 V 3.71, 2 Rb 3.82
6 Rb 0.6375 0.5328 0.0656  6 P 3.46-3.85, 1 V 3.71, 2 Rb 3.82
7 Rb 0.1375 0.0656 0.5328  6 P 3.46-3.85, 1 V 3.71, 2 Rb 3.82
8 Rb 0.9557 0.8549 0.7098  4 P 3.38-3.54
9 Rb 0.9557 0.2902 0.1451  4 P 3.38-3.54
10 Rb 0.1375 0.4672 0.9344  6 P 3.46-3.85, 1 V 3.71, 2 Rb 3.82
11 Rb 0.6375 0.9344 0.4672  6 P 3.46-3.85, 1 V 3.71, 2 Rb 3.82
12 Rb 0.4557 0.1451 0.2902  4 P 3.38-3.54
13 Rb 0.9557 0.8549 0.1451  4 P 3.38-3.54
14 Rb 0.1375 0.4672 0.5328  6 P 3.46-3.85, 1 V 3.71, 2 Rb 3.82
15 P 0.3311 0.4229 0.2115  1 V 2.31
16 P 0.3311 0.7885 0.2115  1 V 2.31
17 P 0.9739 0.6667 0.3333  1 V 2.28
18 P 0.3311 0.7885 0.5771  1 V 2.31
19 P 0.4739 0.3333 0.6667  1 V 2.28
20 P 0.8311 0.2115 0.4229  1 V 2.31
21 P 0.8311 0.5771 0.7885  1 V 2.31
22 P 0.8311 0.2115 0.7885  1 V 2.31

Computed properties:
The space-group type is No. 186. The formation energy is -0.334 eV per atom. For the density of states at the Fermi level, the calculation gives 11.08 states/eV/f.u. Its spin magnetization is 1.08 μB per formula unit.

***

No. 10
Entry from the Alexandria database: a geometry-optimized Pm2Pr6Ho3In structure (GGA-PBE).

Unit cell a=6.2544 b=6.2544 c=11.9476 alpha=95.03 beta=95.03 gamma=120.14
Closest atoms and distances in Å follow each position.
Fractional coordinates of all 12 atoms:
1 Ho 0.8326 0.1674 0.5000  6 Pr 3.58-3.62, 6 Ho 3.60-3.63
2 Ho 0.1674 0.8326 0.5000  6 Pr 3.58-3.62, 6 Ho 3.60-3.63
3 Ho 0.5000 0.5000 0.5000  6 Pr 3.58-3.62, 6 Ho 3.61
4 Pr 0.7580 0.7580 0.2517  6 Pr 3.53-3.65, 3 Ho 3.58-3.62, 1 In 3.59, 2 Pm 3.63
5 Pr 0.0835 0.4094 0.2507  6 Pr 3.53-3.65, 3 Ho 3.58-3.62, 1 In 3.58, 2 Pm 3.63
6 Pr 0.4094 0.0835 0.2507  6 Pr 3.53-3.65, 3 Ho 3.58-3.62, 1 In 3.58, 2 Pm 3.63
7 Pr 0.9165 0.5906 0.7493  6 Pr 3.53-3.65, 3 Ho 3.58-3.62, 1 In 3.58, 2 Pm 3.63
8 Pr 0.5906 0.9165 0.7493  6 Pr 3.53-3.65, 3 Ho 3.58-3.62, 1 In 3.58, 2 Pm 3.63
9 Pr 0.2420 0.2420 0.7483  6 Pr 3.53-3.65, 3 Ho 3.58-3.62, 1 In 3.59, 2 Pm 3.63
10 Pm 0.6663 0.3337 0.0000  3 In 3.60-3.62, 3 Pm 3.61, 6 Pr 3.63
11 Pm 0.3337 0.6663 0.0000  3 In 3.60-3.62, 3 Pm 3.61, 6 Pr 3.63
12 In 0.0000 0.0000 0.0000  6 Pr 3.58-3.59, 6 Pm 3.60-3.62

Computed properties:
The space-group type is No. 12. The formation energy is -0.045 eV per atom. For the density of states at the Fermi level, the calculation gives 13.74 states/eV/f.u. Its spin magnetization is 0.00 μB per formula unit.

***

No. 11
Entry from the Alexandria database: a geometry-optimized Pm4Pr3Nd2 structure (GGA-PBE).

Unit cell a=6.3730 b=6.3764 c=13.2559 alpha=118.70 beta=103.87 gamma=120.00
Closest atoms and distances in Å follow each position.
Fractional coordinates of all 9 atoms:
1 Pr 0.0000 0.0000 0.0000  8 Pm 3.68, 2 Nd 3.68, 2 Pr 3.68
2 Pr 0.5556 0.1107 0.6670  6 Pm 3.67-3.69, 4 Nd 3.68-3.69, 2 Pr 3.68-3.69
3 Pr 0.4444 0.8893 0.3330  6 Pm 3.67-3.69, 4 Nd 3.68-3.69, 2 Pr 3.68-3.69
4 Nd 0.2226 0.4450 0.6669  6 Pm 3.67-3.68, 5 Pr 3.68-3.69, 1 Nd 3.69
5 Nd 0.7774 0.5550 0.3331  6 Pm 3.67-3.68, 5 Pr 3.68-3.69, 1 Nd 3.69
6 Pm 0.1104 0.2212 0.3331  5 Pr 3.67-3.69, 3 Pm 3.68-3.69, 4 Nd 3.68
7 Pm 0.3340 0.6666 0.0000  5 Pr 3.67-3.68, 5 Pm 3.67-3.69, 2 Nd 3.67-3.68
8 Pm 0.8896 0.7788 0.6669  5 Pr 3.67-3.69, 3 Pm 3.68-3.69, 4 Nd 3.68
9 Pm 0.6660 0.3334 0.0000  5 Pr 3.67-3.68, 5 Pm 3.67-3.69, 2 Nd 3.67-3.68

Computed properties:
For the polymorph energy (0 for the lowest one), the calculation gives 0.000 eV per formula unit. The space-group type is No. 2. The formation energy is 0.013 eV per atom. For the density of states at the Fermi level, the calculation gives 14.33 states/eV/f.u. Its spin magnetization is 0.00 μB per formula unit.